Run i
An optimized crystal structure of OsIBr2. Source: Alexandria via LeMat-Bulk, functional PBE.

Computed properties:
symmetry: No. 122
calculated volume: 257.8 Å³/cell

a = 7.403 Å, b = 7.403 Å, c = 7.037 Å
α = 58.26°, β = 58.26°, γ = 90.00°
Element x y z (fractional)
I  0.500  0.500  0.000
I  0.250  0.750  0.500
Os  0.000  0.000  0.000
Os  0.750  0.250  0.500
Br  0.744  0.125  0.250
Br  0.006  0.625  0.250
Br  0.375  0.256  0.750
Br  0.875  0.994  0.750

=====

Run ii
An optimized crystal structure of OsIBr2. Source: Alexandria via LeMat-Bulk, functional PBE.

Computed properties:
symmetry: No. 166
calculated volume: 132.9 Å³/cell

a = 11.078 Å, b = 11.078 Å, c = 11.078 Å
α = 19.53°, β = 19.53°, γ = 19.53°
Element x y z (fractional)
I  0.000  0.000  0.000
Os  0.500  0.500  0.500
Br  0.873  0.873  0.873
Br  0.127  0.127  0.127

=====

run ii is the most stable structure; the next one sits 342 meV/atom above it.

=====

Run i
An optimized crystal structure of OsI2Br. Source: Alexandria via LeMat-Bulk, functional PBE.

Computed properties:
symmetry: No. 225
calculated volume: 92.5 Å³/cell

a = 5.077 Å, b = 5.077 Å, c = 5.077 Å
α = 60.00°, β = 60.00°, γ = 60.00°
Element x y z (fractional)
I  0.250  0.250  0.250
I  0.750  0.750  0.750
Os  0.500  0.500  0.500
Br  0.000  0.000  0.000

=====

Run ii
An optimized crystal structure of OsI2Br. Source: Alexandria via LeMat-Bulk, functional PBE.

Computed properties:
symmetry: No. 122
calculated volume: 272.8 Å³/cell

a = 7.587 Å, b = 7.587 Å, c = 7.159 Å
α = 58.00°, β = 58.00°, γ = 90.00°
Element x y z (fractional)
I  0.714  0.125  0.250
I  0.036  0.625  0.250
I  0.375  0.286  0.750
I  0.875  0.964  0.750
Os  0.000  0.000  0.000
Os  0.750  0.250  0.500
Br  0.500  0.500  0.000
Br  0.250  0.750  0.500

=====

run ii is the most stable structure; the next one sits 699 meV/atom above it.

=====

Run i
An optimized crystal structure of SbOsI2Br. Source: Alexandria via LeMat-Bulk, functional PBE.

Computed properties:
symmetry: No. 123
calculated volume: 153.8 Å³/cell

a = 5.485 Å, b = 5.485 Å, c = 5.111 Å
α = 90.00°, β = 90.00°, γ = 90.00°
Element x y z (fractional)
I  0.000  0.500  0.000
I  0.500  0.000  0.000
Sb  0.000  0.000  0.500
Os  0.000  0.000  0.000
Br  0.500  0.500  0.500

=====

Run ii
An optimized crystal structure of SbOsI2Br. Source: Alexandria via LeMat-Bulk, functional PBE.

Computed properties:
symmetry: No. 123
calculated volume: 188.3 Å³/cell

a = 5.702 Å, b = 5.702 Å, c = 5.790 Å
α = 90.00°, β = 90.00°, γ = 90.00°
Element x y z (fractional)
I  0.000  0.500  0.000
I  0.500  0.000  0.000
Sb  0.000  0.000  0.500
Os  0.500  0.500  0.500
Br  0.000  0.000  0.000

=====

run i is the most stable structure; the next one sits 1321 meV/atom above it.

=====

Run i
An optimized crystal structure of PIBr3. Source: Alexandria via LeMat-Bulk, functional PBE.

Computed properties:
symmetry: No. 46
calculated volume: 498.0 Å³/cell

a = 11.579 Å, b = 7.751 Å, c = 8.906 Å
α = 115.80°, β = 130.55°, γ = 90.00°
Element x y z (fractional)
P  0.085  0.997  0.500
P  0.585  0.003  0.500
I  0.163  0.677  0.500
I  0.663  0.323  0.500
Br  0.625  0.157  0.817
Br  0.308  0.841  0.183
Br  0.125  0.159  0.817
Br  0.661  0.715  0.500
Br  0.808  0.843  0.183
Br  0.161  0.285  0.500

=====

Run ii
An optimized crystal structure of PIBr3. Source: Alexandria via LeMat-Bulk, functional PBE.

Computed properties:
symmetry: No. 221
calculated volume: 141.8 Å³/cell

a = 5.214 Å, b = 5.214 Å, c = 5.214 Å
α = 90.00°, β = 90.00°, γ = 90.00°
Element x y z (fractional)
I  0.500  0.500  0.500
P  0.000  0.000  0.000
Br  0.000  0.500  0.000
Br  0.000  0.000  0.500
Br  0.500  0.000  0.000

=====

run i is the most stable structure; the next one sits 413 meV/atom above it.

=====

Run i
An optimized crystal structure of PIBr3. Source: Alexandria via LeMat-Bulk, functional PBE.

Computed properties:
symmetry: No. 221
calculated volume: 190.8 Å³/cell

a = 5.757 Å, b = 5.757 Å, c = 5.757 Å
α = 90.00°, β = 90.00°, γ = 90.00°
Element x y z (fractional)
I  0.000  0.000  0.000
P  0.500  0.500  0.500
Br  0.000  0.500  0.000
Br  0.000  0.000  0.500
Br  0.500  0.000  0.000

=====

Run ii
An optimized crystal structure of PIBr3. Source: Alexandria via LeMat-Bulk, functional PBE.

Computed properties:
symmetry: No. 11
calculated volume: 478.0 Å³/cell

a = 7.126 Å, b = 7.540 Å, c = 9.906 Å
α = 90.00°, β = 90.00°, γ = 116.07°
Element x y z (fractional)
P  0.364  0.135  0.250
P  0.636  0.865  0.750
I  0.123  0.749  0.250
I  0.877  0.251  0.750
Br  0.751  0.761  0.573
Br  0.249  0.239  0.427
Br  0.751  0.761  0.927
Br  0.249  0.239  0.073
Br  0.730  0.355  0.250
Br  0.270  0.645  0.750

=====

run ii is the most stable structure; the next one sits 957 meV/atom above it.

=====

Run i
An optimized crystal structure of P2I2Br. Source: Alexandria via LeMat-Bulk, functional PBE.

Computed properties:
symmetry: No. 2
calculated volume: 473.2 Å³/cell

a = 9.659 Å, b = 7.619 Å, c = 13.181 Å
α = 90.93°, β = 43.00°, γ = 62.32°
Element x y z (fractional)
P  0.570  0.962  0.284
P  0.150  0.448  0.858
P  0.850  0.552  0.142
P  0.430  0.038  0.716
I  0.372  0.554  0.838
I  0.416  0.081  0.188
I  0.628  0.446  0.162
I  0.584  0.919  0.812
Br  0.808  0.931  0.435
Br  0.192  0.069  0.565

=====

Run ii
An optimized crystal structure of P2I2Br. Source: Alexandria via LeMat-Bulk, functional PBE.

Computed properties:
symmetry: No. 127
calculated volume: 305.2 Å³/cell

a = 8.055 Å, b = 8.055 Å, c = 4.703 Å
α = 90.00°, β = 90.00°, γ = 90.00°
Element x y z (fractional)
I  0.168  0.668  0.500
I  0.668  0.832  0.500
I  0.832  0.332  0.500
I  0.332  0.168  0.500
P  0.269  0.769  0.000
P  0.769  0.731  0.000
P  0.731  0.231  0.000
P  0.231  0.269  0.000
Br  0.000  0.000  0.000
Br  0.500  0.500  0.000

=====

Run iii
An optimized crystal structure of P2I2Br. Source: Alexandria via LeMat-Bulk, functional PBE.

Computed properties:
symmetry: No. 139
calculated volume: 134.7 Å³/cell

a = 5.867 Å, b = 5.867 Å, c = 5.703 Å
α = 59.04°, β = 59.04°, γ = 90.00°
Element x y z (fractional)
I  0.750  0.250  0.500
I  0.250  0.750  0.500
P  0.358  0.358  0.284
P  0.642  0.642  0.716
Br  0.000  0.000  0.000

=====

run i is the most stable structure; the next one sits 554 meV/atom above it.